Density functional theory data (meta-GGA SCAN) for a PBEsol-optimized structure of Tl2Ni2Mo3O12.

```
data_Tl2Ni2Mo3O12
_chemical_formula_sum 'Tl8 Ni8 Mo12 O48'
_space_group_name_H-M_alt 'P 1'
_space_group_IT_number 1
_space_group_name_Hall 'P 1'
_cell_length_a 10.508
_cell_length_b 10.508
_cell_length_c 10.508
_cell_angle_alpha 90.00
_cell_angle_beta 90.00
_cell_angle_gamma 90.00
loop_
_atom_site_label
_atom_site_type_symbol
_atom_site_fract_x
_atom_site_fract_y
_atom_site_fract_z
_atom_site_occupancy
O1 O 0.104 0.810 0.740 1
O2 O 0.266 0.949 0.291 1
O3 O 0.791 0.234 0.051 1
Mo1 Mo 0.197 0.379 0.029 1
Ni1 Ni 0.885 0.385 0.115 1
O4 O 0.690 0.260 0.604 1
Tl1 Tl 0.947 0.553 0.447 1
O5 O 0.724 0.971 0.044 1
O6 O 0.740 0.104 0.810 1
O7 O 0.310 0.760 0.896 1
Ni2 Ni 0.615 0.615 0.615 1
O8 O 0.776 0.029 0.544 1
O9 O 0.896 0.310 0.760 1
Tl2 Tl 0.829 0.829 0.829 1
O10 O 0.051 0.791 0.234 1
O11 O 0.449 0.209 0.734 1
O12 O 0.964 0.825 0.484 1
O13 O 0.029 0.544 0.776 1
O14 O 0.516 0.464 0.675 1
O15 O 0.044 0.724 0.971 1
O16 O 0.260 0.604 0.690 1
Tl3 Tl 0.553 0.447 0.947 1
O17 O 0.760 0.896 0.310 1
O18 O 0.734 0.449 0.209 1
O19 O 0.971 0.044 0.724 1
Tl4 Tl 0.671 0.171 0.329 1
O20 O 0.325 0.016 0.036 1
O21 O 0.291 0.266 0.949 1
O22 O 0.190 0.240 0.396 1
O23 O 0.036 0.325 0.016 1
O24 O 0.484 0.964 0.825 1
O25 O 0.224 0.529 0.956 1
O26 O 0.175 0.984 0.536 1
O27 O 0.209 0.734 0.449 1
Mo2 Mo 0.971 0.697 0.121 1
O28 O 0.544 0.776 0.029 1
O29 O 0.276 0.471 0.456 1
Mo3 Mo 0.029 0.197 0.379 1
Ni3 Ni 0.162 0.662 0.838 1
O30 O 0.529 0.956 0.224 1
Tl5 Tl 0.329 0.671 0.171 1
O31 O 0.984 0.536 0.175 1
O32 O 0.766 0.551 0.709 1
Mo4 Mo 0.303 0.621 0.529 1
O33 O 0.551 0.709 0.766 1
O34 O 0.396 0.190 0.240 1
O35 O 0.464 0.675 0.516 1
Mo5 Mo 0.697 0.121 0.971 1
Ni4 Ni 0.662 0.838 0.162 1
O36 O 0.604 0.690 0.260 1
Tl6 Tl 0.171 0.329 0.671 1
Tl7 Tl 0.447 0.947 0.553 1
Mo6 Mo 0.379 0.029 0.197 1
Tl8 Tl 0.053 0.053 0.053 1
Mo7 Mo 0.879 0.471 0.803 1
O37 O 0.016 0.036 0.325 1
O38 O 0.234 0.051 0.791 1
Mo8 Mo 0.529 0.303 0.621 1
O39 O 0.810 0.740 0.104 1
Ni5 Ni 0.385 0.115 0.885 1
Ni6 Ni 0.838 0.162 0.662 1
O40 O 0.675 0.516 0.464 1
O41 O 0.825 0.484 0.964 1
Mo9 Mo 0.121 0.971 0.697 1
O42 O 0.949 0.291 0.266 1
Mo10 Mo 0.803 0.879 0.471 1
O43 O 0.709 0.766 0.551 1
O44 O 0.471 0.456 0.276 1
O45 O 0.456 0.276 0.471 1
O46 O 0.240 0.396 0.190 1
Mo11 Mo 0.621 0.529 0.303 1
O47 O 0.536 0.175 0.984 1
Ni7 Ni 0.115 0.885 0.385 1
O48 O 0.956 0.224 0.529 1
Ni8 Ni 0.338 0.338 0.338 1
Mo12 Mo 0.471 0.803 0.879 1
```

Calculated values
Its density is 5.8 g/cm³. The value obtained for the electronic total energy is -20.57 eV per atom. As for the space group: No. 198. The density of states at the Fermi level is 0.0 states/eV/f.u.